Record 1
# BaSn5Te7

A geometry-optimized BaSn5Te7 structure (PBE, Alexandria).

Lattice parameters (Å, degrees): 4.544 14.765 26.726 90.00 90.00 90.00
Space group Cmcm (No. 63)
One atom of each set of equivalent atoms:
Ba1 0.000 0.200 0.250 x4
Sn1 0.000 0.000 0.000 x4
Sn2 0.000 0.276 0.572 x8
Sn3 0.000 0.455 0.146 x8
Te1 0.000 0.098 0.109 x8
Te2 0.000 0.179 0.671 x8
Te3 0.000 0.365 0.037 x8
Te4 0.000 0.474 0.750 x4

Calculated values
magnetic moment: 0.000 Bohr magnetons per cell
E_form (uncorrected): -0.4727 eV per atom
uncorrected energy: -0.2831 Ry per atom

Record 2
# LiYTe4

A geometry-optimized LiYTe4 structure (PBE, Alexandria).

Lattice parameters (Å, degrees): 9.036 9.036 9.036 90.00 90.00 90.00
Space group F-43m (No. 216)
One atom of each set of equivalent atoms:
Li1 0.000 0.000 0.000 x4
Y1 0.250 0.250 0.250 x4
Te1 0.125 0.125 0.625 x16

Calculated values
magnetic moment: 0.002 Bohr magnetons per cell
E_form (uncorrected): 0.0443 eV per atom
uncorrected energy: -0.2533 Ry per atom

Record 3
# La8Te4Ir3Pt

A geometry-optimized La8Te4Ir3Pt structure (PBE, Alexandria).

Lattice parameters (Å, degrees): 8.6075 8.6075 22.8947 90.00 90.00 120.00
Space group R-3m (No. 166, hexagonal axes)
One atom of each set of equivalent atoms:
La1 0.0000 0.0000 0.2368 x6
La2 0.0072 0.5036 0.7631 x18
Te1 0.0000 0.0000 0.0000 x3
Te2 0.0000 0.5000 0.0000 x9
Ir1 0.0000 0.5000 0.5000 x9
Pt1 0.0000 0.0000 0.5000 x3

Calculated values
magnetic moment: 0.000 Bohr magnetons per cell
E_form (uncorrected): -1.2196 eV per atom
uncorrected energy: -0.4783 Ry per atom

Record 4
# MnCdOs2

A geometry-optimized MnCdOs2 structure (PBE, Alexandria).

Lattice parameters (Å, degrees): 2.957 2.957 6.969 90.00 90.00 90.00
Space group P4/mmm (No. 123)
One atom of each set of equivalent atoms:
Mn1 0.000 0.000 0.000 x1
Cd1 0.000 0.000 0.500 x1
Os1 0.500 0.500 0.203 x2

Calculated values
magnetic moment: 1.880 Bohr magnetons per cell
formation energy from the elements: 38.78 kJ/mol of atoms
uncorrected energy: -0.5684 Ry per atom